Entry 1:
# Sr2NiPbN PBE-GGA optimized geometry
data_Sr2NiPbN
_cell_length_a 5.511
_cell_length_b 5.511
_cell_length_c 4.757
_cell_angle_alpha 90.00
_cell_angle_beta 90.00
_cell_angle_gamma 90.00
_symmetry_space_group_name_H-M 'P 4/m m m'
_symmetry_Int_Tables_number 123
_symmetry_space_group_name_Hall '-P 4 2'
loop_
_atom_site_label
_atom_site_type_symbol
_atom_site_fract_x
_atom_site_fract_y
_atom_site_fract_z
_atom_site_occupancy
Sr1 Sr 0.000 0.500 0.000 1
Ni1 Ni 0.000 0.000 0.000 1
Pb1 Pb 0.000 0.000 0.500 1
N1 N 0.500 0.500 0.500 1
# - distance to the lowest polymorph of the same formula (meV per atom) = 1008
# - DOS(E_F) (states/eV/cell) = 2.82
# - E_form (uncorrected) (eV/atom) = 0.576


Entry 2:
# CuIr2Br PBE-GGA optimized geometry
data_CuIr2Br
_cell_length_a 3.102
_cell_length_b 3.102
_cell_length_c 6.402
_cell_angle_alpha 90.00
_cell_angle_beta 90.00
_cell_angle_gamma 90.00
_symmetry_space_group_name_H-M 'P 4/m m m'
_symmetry_Int_Tables_number 123
_symmetry_space_group_name_Hall '-P 4 2'
loop_
_atom_site_label
_atom_site_type_symbol
_atom_site_fract_x
_atom_site_fract_y
_atom_site_fract_z
_atom_site_occupancy
Cu1 Cu 0.000 0.000 0.000 1
Ir1 Ir 0.500 0.500 0.216 1
Br1 Br 0.000 0.000 0.500 1
# - distance to the lowest polymorph of the same formula (meV per atom) = 392
# - DOS(E_F) (states/eV/cell) = 4.39
# - E_form (uncorrected) (eV/atom) = 0.841


Entry 3:
# TiGa2F PBE-GGA optimized geometry
data_TiGa2F
_cell_length_a 7.118
_cell_length_b 7.118
_cell_length_c 5.035
_cell_angle_alpha 90.00
_cell_angle_beta 90.00
_cell_angle_gamma 90.00
_symmetry_space_group_name_H-M 'I -4 2 d'
_symmetry_Int_Tables_number 122
_symmetry_space_group_name_Hall 'I -4 2bw'
loop_
_atom_site_label
_atom_site_type_symbol
_atom_site_fract_x
_atom_site_fract_y
_atom_site_fract_z
_atom_site_occupancy
Ti1 Ti 0.000 0.000 0.000 1
Ga1 Ga 0.213 0.750 0.625 1
F1 F 0.000 0.000 0.500 1
# - distance to the lowest polymorph of the same formula (meV per atom) = 0
# - DOS(E_F) (states/eV/cell) = 9.40
# - E_form (uncorrected) (eV/atom) = -0.502


Entry 4:
# Ca2FeW PBE-GGA optimized geometry
data_Ca2FeW
_cell_length_a 3.0648
_cell_length_b 3.0648
_cell_length_c 30.5378
_cell_angle_alpha 90.00
_cell_angle_beta 90.00
_cell_angle_gamma 120.00
_symmetry_space_group_name_H-M 'R -3 m'
_symmetry_Int_Tables_number 166
_symmetry_space_group_name_Hall '-R 3 2"'
loop_
_atom_site_label
_atom_site_type_symbol
_atom_site_fract_x
_atom_site_fract_y
_atom_site_fract_z
_atom_site_occupancy
Ca1 Ca 0.0000 0.0000 0.2472 1
Fe1 Fe 0.0000 0.0000 0.5000 1
W1 W 0.0000 0.0000 0.0000 1
# - distance to the lowest polymorph of the same formula (meV per atom) = 568
# - DOS(E_F) (states/eV/cell) = 11.57


Entry 5:
# Mg2AlAsH PBE-GGA optimized geometry
data_Mg2AlAsH
_cell_length_a 4.474
_cell_length_b 4.474
_cell_length_c 4.035
_cell_angle_alpha 90.00
_cell_angle_beta 90.00
_cell_angle_gamma 90.00
_symmetry_space_group_name_H-M 'P 4/m m m'
_symmetry_Int_Tables_number 123
_symmetry_space_group_name_Hall '-P 4 2'
loop_
_atom_site_label
_atom_site_type_symbol
_atom_site_fract_x
_atom_site_fract_y
_atom_site_fract_z
_atom_site_occupancy
Mg1 Mg 0.000 0.500 0.000 1
Al1 Al 0.000 0.000 0.500 1
As1 As 0.500 0.500 0.500 1
H1 H 0.000 0.000 0.000 1
# - DOS(E_F) (states/eV/cell) = 1.88


Entry 6:
# Nd2Sn3SbRh4 PBE-GGA optimized geometry
data_Nd2Sn3SbRh4
_cell_length_a 4.505
_cell_length_b 4.505
_cell_length_c 10.726
_cell_angle_alpha 90.00
_cell_angle_beta 90.00
_cell_angle_gamma 90.00
_symmetry_space_group_name_H-M 'P -4 m 2'
_symmetry_Int_Tables_number 115
loop_
_symmetry_equiv_pos_as_xyz
'x,y,z'
'y,-x,-z'
'-x,-y,z'
'-y,x,-z'
'-x,y,z'
'-y,-x,-z'
'x,-y,z'
'y,x,-z'
loop_
_atom_site_label
_atom_site_type_symbol
_atom_site_fract_x
_atom_site_fract_y
_atom_site_fract_z
_atom_site_occupancy
Nd1 Nd 0.000 0.500 0.250 1
Sn1 Sn 0.000 0.000 0.000 1
Sn2 Sn 0.000 0.500 0.630 1
Sb1 Sb 0.500 0.500 0.000 1
Rh1 Rh 0.000 0.000 0.500 1
Rh2 Rh 0.000 0.500 0.872 1
Rh3 Rh 0.500 0.500 0.500 1
# - DOS(E_F) (states/eV/cell) = 6.03
# - E_form (uncorrected) (eV/atom) = -0.724


Entry 7:
# Er3UIn3Te8 PBE-GGA optimized geometry
data_Er3UIn3Te8
_cell_length_a 8.7161
_cell_length_b 8.7161
_cell_length_c 24.4892
_cell_angle_alpha 90.00
_cell_angle_beta 90.00
_cell_angle_gamma 120.00
_symmetry_space_group_name_H-M 'R -3 m'
_symmetry_Int_Tables_number 166
_symmetry_space_group_name_Hall '-R 3 2"'
loop_
_atom_site_label
_atom_site_type_symbol
_atom_site_fract_x
_atom_site_fract_y
_atom_site_fract_z
_atom_site_occupancy
Er1 Er 0.0000 0.5000 0.0000 1
U1 U 0.0000 0.0000 0.0000 1
In1 In 0.0000 0.5000 0.5000 1
Te1 Te 0.0000 0.0000 0.2611 1
Te2 Te 0.0007 0.5004 0.2612 1
# - DOS(E_F) (states/eV/cell) = 16.74
# - E_form (uncorrected) (eV/atom) = -0.882


Entry 8:
# LiTmPuO5 PBE-GGA optimized geometry
data_LiTmPuO5
_cell_length_a 6.395
_cell_length_b 9.276
_cell_length_c 7.220
_cell_angle_alpha 90.00
_cell_angle_beta 106.10
_cell_angle_gamma 90.00
_symmetry_space_group_name_H-M 'C 1 2/c 1'
_symmetry_Int_Tables_number 15
loop_
_symmetry_equiv_pos_as_xyz
'x,y,z'
'-x,-y,-z'
'-x,y,-z+1/2'
'x,-y,z+1/2'
'x+1/2,y+1/2,z'
'-x+1/2,-y+1/2,-z'
'-x+1/2,y+1/2,-z+1/2'
'x+1/2,-y+1/2,z+1/2'
loop_
_atom_site_label
_atom_site_type_symbol
_atom_site_fract_x
_atom_site_fract_y
_atom_site_fract_z
_atom_site_occupancy
Li1 Li 0.000 0.191 0.250 1
Tm1 Tm 0.000 0.118 0.750 1
Pu1 Pu 0.000 0.500 0.000 1
O1 O 0.000 0.369 0.750 1
O2 O 0.144 0.333 0.144 1
O3 O 0.168 0.060 0.453 1
# - DOS(E_F) (states/eV/cell) = 14.73
# - E_form (uncorrected) (eV/atom) = -2.731


Entry 9:
# NdSmSe2Cl PBE-GGA optimized geometry
data_NdSmSe2Cl
_cell_length_a 4.213
_cell_length_b 4.213
_cell_length_c 14.206
_cell_angle_alpha 90.00
_cell_angle_beta 90.00
_cell_angle_gamma 90.00
_symmetry_space_group_name_H-M 'P 4/n m m'
_symmetry_Int_Tables_number 129
loop_
_symmetry_equiv_pos_as_xyz
'x,y,z'
'-x,-y,-z'
'-y+1/2,x,z'
'y+1/2,-x,-z'
'-x+1/2,-y+1/2,z'
'x+1/2,y+1/2,-z'
'y,-x+1/2,z'
'-y,x+1/2,-z'
'x+1/2,-y,-z'
'-x+1/2,y,z'
'-y,-x,-z'
'y,x,z'
'-x,y+1/2,-z'
'x,-y+1/2,z'
'y+1/2,x+1/2,-z'
'-y+1/2,-x+1/2,z'
loop_
_atom_site_label
_atom_site_type_symbol
_atom_site_fract_x
_atom_site_fract_y
_atom_site_fract_z
_atom_site_occupancy
Nd1 Nd 0.250 0.250 0.145 1
Sm1 Sm 0.250 0.250 0.591 1
Se1 Se 0.250 0.250 0.380 1
Se2 Se 0.250 0.250 0.799 1
Cl1 Cl 0.250 0.750 0.000 1
# - DOS(E_F) (states/eV/cell) = 3.09
# - E_form (uncorrected) (eV/atom) = -1.907


Entry 10:
# BiH3Se PBE-GGA optimized geometry
data_BiH3Se
_cell_length_a 3.942
_cell_length_b 3.942
_cell_length_c 3.942
_cell_angle_alpha 90.00
_cell_angle_beta 90.00
_cell_angle_gamma 90.00
_symmetry_space_group_name_H-M 'P m -3 m'
_symmetry_Int_Tables_number 221
_symmetry_space_group_name_Hall '-P 4 2 3'
loop_
_atom_site_label
_atom_site_type_symbol
_atom_site_fract_x
_atom_site_fract_y
_atom_site_fract_z
_atom_site_occupancy
Bi1 Bi 0.000 0.000 0.000 1
H1 H 0.000 0.500 0.500 1
Se1 Se 0.500 0.500 0.500 1
# - distance to the lowest polymorph of the same formula (meV per atom) = 54
# - DOS(E_F) (states/eV/cell) = 1.51


Entry 11:
# CaAg2P PBE-GGA optimized geometry
data_CaAg2P
_cell_length_a 4.165
_cell_length_b 3.833
_cell_length_c 5.690
_cell_angle_alpha 90.00
_cell_angle_beta 111.35
_cell_angle_gamma 90.00
_symmetry_space_group_name_H-M 'P 1 m 1'
_symmetry_Int_Tables_number 6
loop_
_symmetry_equiv_pos_as_xyz
'x,y,z'
'x,-y,z'
loop_
_atom_site_label
_atom_site_type_symbol
_atom_site_fract_x
_atom_site_fract_y
_atom_site_fract_z
_atom_site_occupancy
Ca1 Ca 0.000 0.000 0.000 1
Ag1 Ag 0.285 0.000 0.571 1
Ag2 Ag 0.698 0.500 0.396 1
P1 P 0.448 0.500 0.894 1
# - DOS(E_F) (states/eV/cell) = 1.95


Entry 12:
# Ni2MoOs PBE-GGA optimized geometry
data_Ni2MoOs
_cell_length_a 5.287
_cell_length_b 5.298
_cell_length_c 7.439
_cell_angle_alpha 90.00
_cell_angle_beta 90.00
_cell_angle_gamma 90.00
_symmetry_space_group_name_H-M 'F 2 2 2'
_symmetry_Int_Tables_number 22
_symmetry_space_group_name_Hall 'F 2 2'
loop_
_atom_site_label
_atom_site_type_symbol
_atom_site_fract_x
_atom_site_fract_y
_atom_site_fract_z
_atom_site_occupancy
Ni1 Ni 0.000 0.000 0.000 1
Ni2 Ni 0.250 0.250 0.250 1
Mo1 Mo 0.250 0.250 0.750 1
Os1 Os 0.000 0.000 0.500 1
# - distance to the lowest polymorph of the same formula (meV per atom) = 0
# - DOS(E_F) (states/eV/cell) = 14.53


Magnetization across the listed records, respectively: 0.00, 0.00, 1.11, 2.13, 0.00, 0.00, 2.02, 2.00, 0.00, 0.00, 0.00, 0.00 μB/f.u..
Energy across the listed records, respectively: -3.659, -5.031, -4.457, -5.364, -2.986, -6.232, -4.771, -8.419, -5.567, -2.731, -3.589, -8.420 eV per atom.